## CuNiBPd (PBE-GGA)

Data for a relaxed structure of CuNiBPd.

Calculated values
Electronic total energy: -4.9338 eV/atom
Magnetic moment: 0.04 μB per cell

Cell: 5.624 5.624 5.624 Å, 90.00 90.00 90.00°
Space group F-43m (No. 216)
Symmetry-distinct sites (fractional):
Cu 0.000 0.000 0.000
Ni 0.250 0.250 0.250
B 0.250 0.250 0.750
Pd 0.000 0.000 0.500